Entry 1:
The following is a DFT calculation (PBE) of crystalline PtPb2NO at its relaxed geometry.

Unit cell a=4.1734 b=4.5300 c=5.9605 alpha=110.19 beta=90.07 gamma=99.58
With the nearest neighbours (Å) after each atom.
Space group P1 (No. 1)
Asymmetric unit:
Pt (0.0000, 0.0000, 0.0000) x1  1 N 1.96, 1 O 2.12
Pb (0.2636, 0.4011, 0.7250) x1  1 O 2.36, 2 N 2.38-2.46
Pb (0.7871, 0.5935, 0.2945) x1  2 O 2.35-2.46, 1 N 2.35
N (0.7988, 0.6646, 0.7046) x1  1 Pt 1.96
O (0.2567, 0.3361, 0.3154) x1  1 Pt 2.12, 2 Pb 2.35-2.36

Summary:
The value obtained for the raw formation energy is 0.000 eV/atom. The calculation puts the density at 10.20 g/cm3. The final energy comes out at -5.348 eV/atom. Its total moment is 0.00 μB per cell.


Entry 2:
The following is a DFT calculation (PBE) of crystalline PtPb2NO at its relaxed geometry.

Unit cell a=12.1667 b=3.7285 c=5.5511 alpha=90.00 beta=101.28 gamma=90.00
With the nearest neighbours (Å) after each atom.
Space group Cm (No. 8)
Asymmetric unit:
Pt (0.0000, 0.0000, 0.0000) x2  2 N 1.86
Pb (0.2226, 0.0000, 0.8682) x2  2 O 2.31
Pb (0.4919, 0.0000, 0.4816) x2  1 O 2.24
N (0.4973, 0.0000, 0.0005) x2  2 Pt 1.86
O (0.1780, 0.5000, 0.6216) x2  3 Pb 2.24-2.31

Summary:
The value obtained for the raw formation energy is -0.173 eV/atom. The calculation puts the density at 8.60 g/cm3. The final energy comes out at -5.521 eV/atom. Its total moment is 0.00 μB per cell.